Density functional theory data (GGA-PBE) for a geometry-optimized RbThGaBr6 structure.

Computed properties:
ΔE_f (raw): -13.63 eV/f.u.
Size of the total moment: 0.00 μB/f.u.

Unit cell a=7.899 b=7.899 c=14.614 alpha=90.00 beta=90.00 gamma=120.00
Sites, in units of the cell vectors:
Br (0.027, 0.380, 0.638)
Ga (0.667, 0.333, 0.750)
Br (0.620, 0.973, 0.862)
Br (0.353, 0.380, 0.862)
Br (0.647, 0.027, 0.362)
Br (0.620, 0.647, 0.638)
Rb (0.000, 0.000, 0.500)
Br (0.380, 0.353, 0.362)
Br (0.353, 0.973, 0.638)
Rb (0.000, 0.000, 0.000)
Br (0.380, 0.027, 0.138)
Th (0.667, 0.333, 0.250)
Ga (0.333, 0.667, 0.250)
Br (0.027, 0.647, 0.862)
Br (0.973, 0.620, 0.362)
Br (0.973, 0.353, 0.138)
Br (0.647, 0.620, 0.138)
Th (0.333, 0.667, 0.750)